Record 1
A relaxed structure of NdDyGaNi, computed with PBE.

Properties
**DFT formation energy**: -0.442 eV/atom
**Total magnetic moment**: 0.0 μB/cell
**Polymorph energy (0 for the lowest one)**: 0.00 kcal/mol of atoms

a = 4.309 Å, b = 3.827 Å, c = 11.171 Å
α = 90.00°, β = 90.00°, γ = 90.00°
Space group Amm2 (No. 38)
One atom of each set of equivalent atoms:
Nd  0.000  0.000  0.000 [2 per cell]
Dy  0.500  0.000  0.713 [2 per cell]
Ga  0.500  0.000  0.417 [2 per cell]
Ni  0.000  0.000  0.283 [2 per cell]

---

Record 2
A relaxed structure of NdDyGaNi, computed with PBE.

Properties
**DFT formation energy**: -0.380 eV/atom
**Total magnetic moment**: 0.0 μB/cell
**Polymorph energy (0 for the lowest one)**: 1.42 kcal/mol of atoms

a = 7.109 Å, b = 7.109 Å, c = 7.109 Å
α = 90.00°, β = 90.00°, γ = 90.00°
Space group F-43m (No. 216)
One atom of each set of equivalent atoms:
Nd  0.000  0.000  0.000 [4 per cell]
Dy  0.000  0.000  0.500 [4 per cell]
Ga  0.250  0.250  0.750 [4 per cell]
Ni  0.250  0.250  0.250 [4 per cell]

---

Record 3
A relaxed structure of NdDyGaPb, computed with PBE.

Properties
**DFT formation energy**: -0.443 eV/atom
**Total magnetic moment**: 0.0 μB/cell

a = 7.566 Å, b = 7.566 Å, c = 7.566 Å
α = 90.00°, β = 90.00°, γ = 90.00°
Space group F-43m (No. 216)
One atom of each set of equivalent atoms:
Nd  0.000  0.000  0.000 [4 per cell]
Dy  0.000  0.000  0.500 [4 per cell]
Ga  0.250  0.250  0.250 [4 per cell]
Pb  0.250  0.250  0.750 [4 per cell]

---

Record 4
A relaxed structure of Nd2DyGa4Pd3, computed with PBE.

Properties
**DFT formation energy**: -0.722 eV/atom
**Total magnetic moment**: 0.0 μB/cell

a = 4.250 Å, b = 4.250 Å, c = 11.733 Å
α = 90.00°, β = 90.00°, γ = 90.00°
Space group P-4m2 (No. 115)
One atom of each set of equivalent atoms:
Nd  0.000  0.500  0.226 [2 per cell]
Dy  0.000  0.000  0.500 [1 per cell]
Ga  0.000  0.000  0.000 [1 per cell]
Ga  0.000  0.500  0.668 [2 per cell]
Ga  0.500  0.500  0.000 [1 per cell]
Pd  0.000  0.500  0.878 [2 per cell]
Pd  0.500  0.500  0.500 [1 per cell]

---

Record 5
A relaxed structure of NdDyGa2Pd2, computed with PBE.

Properties
**DFT formation energy**: -0.836 eV/atom
**Total magnetic moment**: 0.0 μB/cell

a = 4.5286 Å, b = 4.5286 Å, c = 7.0450 Å
α = 90.00°, β = 90.00°, γ = 120.00°
Space group P-3m1 (No. 164)
One atom of each set of equivalent atoms:
Nd  0.0000  0.0000  0.0000 [1 per cell]
Dy  0.0000  0.0000  0.5000 [1 per cell]
Ga  0.3333  0.6667  0.2683 [2 per cell]
Pd  0.3333  0.6667  0.7281 [2 per cell]

---

Record 6
A relaxed structure of NdDyGa2Pd5, computed with PBE.

Properties
**DFT formation energy**: -0.777 eV/atom
**Total magnetic moment**: 0.0 μB/cell

a = 4.251 Å, b = 4.251 Å, c = 9.286 Å
α = 90.00°, β = 90.00°, γ = 90.00°
Space group P4/mmm (No. 123)
One atom of each set of equivalent atoms:
Nd  0.000  0.000  0.000 [1 per cell]
Dy  0.000  0.000  0.500 [1 per cell]
Ga  0.500  0.500  0.367 [2 per cell]
Pd  0.000  0.500  0.228 [4 per cell]
Pd  0.500  0.500  0.000 [1 per cell]

---

Record 7
A relaxed structure of PmNdDyGa, computed with PBE.

Properties
**DFT formation energy**: -0.053 eV/atom
**Total magnetic moment**: 5.1 μB/cell

a = 7.663 Å, b = 7.663 Å, c = 7.663 Å
α = 90.00°, β = 90.00°, γ = 90.00°
Space group F-43m (No. 216)
One atom of each set of equivalent atoms:
Pm  0.000  0.000  0.000 [4 per cell]
Nd  0.250  0.250  0.750 [4 per cell]
Dy  0.250  0.250  0.250 [4 per cell]
Ga  0.000  0.000  0.500 [4 per cell]

---

Record 8
A relaxed structure of PrNdDyGa, computed with PBE.

Properties
**DFT formation energy**: -0.095 eV/atom
**Total magnetic moment**: 0.0 μB/cell

a = 7.709 Å, b = 7.709 Å, c = 7.709 Å
α = 90.00°, β = 90.00°, γ = 90.00°
Space group F-43m (No. 216)
One atom of each set of equivalent atoms:
Pr  0.000  0.000  0.000 [4 per cell]
Nd  0.000  0.000  0.500 [4 per cell]
Dy  0.250  0.250  0.750 [4 per cell]
Ga  0.250  0.250  0.250 [4 per cell]

---

Record 9
A relaxed structure of NdDyGaPt, computed with PBE.

Properties
**DFT formation energy**: -0.790 eV/atom
**Total magnetic moment**: 0.0 μB/cell
**Polymorph energy (0 for the lowest one)**: 2.25 kcal/mol of atoms

a = 7.207 Å, b = 7.207 Å, c = 7.207 Å
α = 90.00°, β = 90.00°, γ = 90.00°
Space group F-43m (No. 216)
One atom of each set of equivalent atoms:
Nd  0.000  0.000  0.000 [4 per cell]
Dy  0.000  0.000  0.500 [4 per cell]
Ga  0.250  0.250  0.750 [4 per cell]
Pt  0.250  0.250  0.250 [4 per cell]

---

Record 10
A relaxed structure of NdDy2Ga2Pt7, computed with PBE.

Properties
**DFT formation energy**: -0.930 eV/atom
**Total magnetic moment**: 0.0 μB/cell

a = 5.806 Å, b = 5.735 Å, c = 14.215 Å
α = 90.00°, β = 99.77°, γ = 90.00°
Space group C2/m (No. 12)
One atom of each set of equivalent atoms:
Nd  0.000  0.000  0.000 [2 per cell]
Dy  0.132  0.000  0.359 [4 per cell]
Ga  0.109  0.500  0.262 [4 per cell]
Pt  0.000  0.500  0.000 [2 per cell]
Pt  0.147  0.500  0.436 [4 per cell]
Pt  0.183  0.250  0.840 [8 per cell]

---

Record 11
A relaxed structure of NdDyGaPt, computed with PBE.

Properties
**DFT formation energy**: -0.887 eV/atom
**Total magnetic moment**: 0.0 μB/cell
**Polymorph energy (0 for the lowest one)**: 0.00 kcal/mol of atoms

a = 4.363 Å, b = 3.904 Å, c = 11.297 Å
α = 90.00°, β = 90.00°, γ = 90.00°
Space group Amm2 (No. 38)
One atom of each set of equivalent atoms:
Nd  0.000  0.000  0.000 [2 per cell]
Dy  0.500  0.000  0.715 [2 per cell]
Ga  0.500  0.000  0.423 [2 per cell]
Pt  0.000  0.000  0.272 [2 per cell]

---

Record 12
A relaxed structure of Nd2DyGa4Pt3, computed with PBE.

Properties
**DFT formation energy**: -0.882 eV/atom
**Total magnetic moment**: 0.0 μB/cell

a = 4.260 Å, b = 4.260 Å, c = 11.599 Å
α = 90.00°, β = 90.00°, γ = 90.00°
Space group P-4m2 (No. 115)
One atom of each set of equivalent atoms:
Nd  0.000  0.500  0.227 [2 per cell]
Dy  0.000  0.000  0.500 [1 per cell]
Ga  0.000  0.000  0.000 [1 per cell]
Ga  0.000  0.500  0.665 [2 per cell]
Ga  0.500  0.500  0.000 [1 per cell]
Pt  0.000  0.500  0.877 [2 per cell]
Pt  0.500  0.500  0.500 [1 per cell]

---

Record 13
A relaxed structure of Nd2DyGa3Pt4, computed with PBE.

Properties
**DFT formation energy**: -0.980 eV/atom
**Total magnetic moment**: 0.0 μB/cell

a = 4.263 Å, b = 4.263 Å, c = 11.421 Å
α = 90.00°, β = 90.00°, γ = 90.00°
Space group P-4m2 (No. 115)
One atom of each set of equivalent atoms:
Nd  0.000  0.500  0.227 [2 per cell]
Dy  0.000  0.000  0.500 [1 per cell]
Ga  0.000  0.500  0.876 [2 per cell]
Ga  0.500  0.500  0.500 [1 per cell]
Pt  0.000  0.000  0.000 [1 per cell]
Pt  0.000  0.500  0.657 [2 per cell]
Pt  0.500  0.500  0.000 [1 per cell]